(1)
The following is a PBE calculation of a relaxed structure of K3YU3S8, from Alexandria via LeMat-Bulk.

Cell lengths 8.826, 8.826, 8.826 Å; angles 54.23, 54.23, 54.23 degrees
Atoms (fractional coordinates):
K  0.000  0.500  0.500
K  0.500  0.000  0.500
K  0.500  0.500  0.000
Y  0.500  0.500  0.500
U  0.000  0.000  0.500
U  0.000  0.500  0.000
U  0.500  0.000  0.000
S  0.231  0.733  0.733
S  0.234  0.234  0.234
S  0.267  0.267  0.769
S  0.267  0.769  0.267
S  0.733  0.231  0.733
S  0.733  0.733  0.231
S  0.766  0.766  0.766
S  0.769  0.267  0.267

---

(2)
The following is a PBE calculation of a relaxed structure of K2U2ZnS6, from Alexandria via LeMat-Bulk.

Cell lengths 6.998, 6.998, 7.837 Å; angles 97.37, 97.37, 123.03 degrees
Atoms (fractional coordinates):
K  0.157  0.843  0.000
K  0.843  0.157  0.000
U  0.334  0.666  0.500
U  0.666  0.334  0.500
Zn  0.000  0.000  0.500
S  0.056  0.417  0.700
S  0.239  0.239  0.328
S  0.417  0.056  0.700
S  0.583  0.944  0.300
S  0.761  0.761  0.672
S  0.944  0.583  0.300

---

(3)
The following is a PBE calculation of a relaxed structure of K3U2ZnS6, from Alexandria via LeMat-Bulk.

Cell lengths 6.892, 6.892, 7.743 Å; angles 98.50, 98.50, 120.03 degrees
Atoms (fractional coordinates):
K  0.000  0.000  0.000
K  0.335  0.665  0.000
K  0.665  0.335  0.000
U  0.167  0.833  0.500
U  0.833  0.167  0.500
Zn  0.500  0.500  0.500
S  0.107  0.434  0.301
S  0.241  0.241  0.698
S  0.434  0.107  0.301
S  0.566  0.893  0.699
S  0.759  0.759  0.302
S  0.893  0.566  0.699

---

(4)
The following is a PBE calculation of a relaxed structure of K2UZnS4, from Alexandria via LeMat-Bulk.

Cell lengths 8.243, 8.243, 8.231 Å; angles 117.14, 117.14, 94.17 degrees
Atoms (fractional coordinates):
K  0.000  0.000  0.000
K  0.000  0.000  0.500
K  0.000  0.500  0.000
K  0.500  0.000  0.500
U  0.500  0.500  0.000
U  0.500  0.500  0.500
Zn  0.000  0.500  0.500
Zn  0.500  0.000  0.000
S  0.228  0.684  0.501
S  0.290  0.290  0.054
S  0.290  0.290  0.554
S  0.316  0.772  0.999
S  0.684  0.228  0.001
S  0.710  0.710  0.446
S  0.710  0.710  0.946
S  0.772  0.316  0.499

---

(5)
The following is a PBE calculation of a relaxed structure of K2UZnS5, from Alexandria via LeMat-Bulk.

Cell lengths 9.496, 9.496, 13.689 Å; angles 90.00, 90.00, 155.68 degrees
Atoms (fractional coordinates):
K  0.102  0.898  0.500
K  0.122  0.878  0.147
K  0.878  0.122  0.647
K  0.898  0.102  0.000
U  0.209  0.791  0.848
U  0.791  0.209  0.348
Zn  0.430  0.570  0.256
Zn  0.570  0.430  0.756
S  0.070  0.930  0.858
S  0.288  0.712  0.471
S  0.299  0.701  0.221
S  0.339  0.661  0.832
S  0.493  0.507  0.120
S  0.507  0.493  0.620
S  0.661  0.339  0.332
S  0.701  0.299  0.721
S  0.712  0.288  0.971
S  0.930  0.070  0.358

---

(6)
The following is a PBE calculation of a relaxed structure of K3U3ZnS8, from Alexandria via LeMat-Bulk.

Cell lengths 7.891, 7.924, 8.676 Å; angles 64.11, 64.12, 62.07 degrees
Atoms (fractional coordinates):
K  0.000  0.000  0.000
K  0.000  0.500  0.000
K  0.500  0.000  0.000
U  0.000  0.500  0.500
U  0.500  0.000  0.500
U  0.500  0.500  0.500
Zn  0.000  0.000  0.500
S  0.205  0.206  0.323
S  0.245  0.715  0.298
S  0.264  0.265  0.704
S  0.282  0.757  0.701
S  0.718  0.243  0.299
S  0.736  0.735  0.296
S  0.755  0.285  0.702
S  0.795  0.794  0.677

---

(7)
The following is a PBE calculation of a relaxed structure of K4U3ZnS8, from Alexandria via LeMat-Bulk.

Cell lengths 8.707, 8.707, 8.707 Å; angles 55.00, 55.00, 55.00 degrees
Atoms (fractional coordinates):
K  0.000  0.000  0.000
K  0.000  0.500  0.500
K  0.500  0.000  0.500
K  0.500  0.500  0.000
U  0.000  0.000  0.500
U  0.000  0.500  0.000
U  0.500  0.000  0.000
Zn  0.500  0.500  0.500
S  0.235  0.235  0.235
S  0.238  0.729  0.729
S  0.271  0.271  0.762
S  0.271  0.762  0.271
S  0.729  0.238  0.729
S  0.729  0.729  0.238
S  0.762  0.271  0.271
S  0.765  0.765  0.765

---

(8)
The following is a PBE calculation of a relaxed structure of K3ZrU2S6, from Alexandria via LeMat-Bulk.

Cell lengths 6.830, 6.830, 7.806 Å; angles 98.39, 98.39, 120.00 degrees
Atoms (fractional coordinates):
K  0.000  0.000  0.000
K  0.333  0.667  0.000
K  0.667  0.333  0.000
Zr  0.500  0.500  0.500
U  0.167  0.833  0.500
U  0.833  0.167  0.500
S  0.109  0.432  0.296
S  0.245  0.245  0.704
S  0.432  0.109  0.296
S  0.568  0.891  0.704
S  0.755  0.755  0.296
S  0.891  0.568  0.704

---

(9)
The following is a PBE calculation of a relaxed structure of KZrUS4, from Alexandria via LeMat-Bulk.

Cell lengths 8.137, 8.137, 8.137 Å; angles 121.99, 116.02, 91.81 degrees
Atoms (fractional coordinates):
K  0.394  0.144  0.250
K  0.606  0.856  0.750
Zr  0.000  0.000  0.500
Zr  0.000  0.500  0.000
U  0.000  0.500  0.500
U  0.500  0.500  0.000
S  0.190  0.740  0.451
S  0.211  0.260  0.951
S  0.230  0.263  0.533
S  0.230  0.697  0.967
S  0.770  0.303  0.033
S  0.770  0.737  0.467
S  0.789  0.740  0.049
S  0.810  0.260  0.549

---

(10)
The following is a PBE calculation of a relaxed structure of K2ZrUS6, from Alexandria via LeMat-Bulk.

Cell lengths 7.170, 7.176, 12.428 Å; angles 90.00, 125.21, 90.00 degrees
Atoms (fractional coordinates):
K  0.246  0.019  0.250
K  0.246  0.481  0.750
K  0.754  0.519  0.250
K  0.754  0.981  0.750
Zr  0.000  0.000  0.500
Zr  0.000  0.500  0.000
U  0.500  0.000  0.000
U  0.500  0.500  0.500
S  0.203  0.224  0.978
S  0.203  0.276  0.478
S  0.254  0.725  0.978
S  0.254  0.775  0.478
S  0.294  0.003  0.751
S  0.294  0.497  0.251
S  0.706  0.503  0.749
S  0.706  0.997  0.249
S  0.746  0.225  0.522
S  0.746  0.275  0.022
S  0.797  0.724  0.522
S  0.797  0.776  0.022

---

(11)
The following is a PBE calculation of a relaxed structure of K3Zr3US8, from Alexandria via LeMat-Bulk.

Cell lengths 7.524, 7.529, 8.747 Å; angles 64.56, 64.54, 60.04 degrees
Atoms (fractional coordinates):
K  0.000  0.000  0.000
K  0.000  0.500  0.000
K  0.500  0.000  0.000
Zr  0.000  0.500  0.500
Zr  0.500  0.000  0.500
Zr  0.500  0.500  0.500
U  0.000  0.000  0.500
S  0.239  0.239  0.300
S  0.239  0.723  0.300
S  0.267  0.267  0.699
S  0.277  0.761  0.700
S  0.723  0.239  0.300
S  0.733  0.733  0.301
S  0.761  0.277  0.700
S  0.761  0.761  0.700

---

(12)
The following is a PBE calculation of a relaxed structure of KZr2US8, from Alexandria via LeMat-Bulk.

Cell lengths 5.727, 6.554, 8.078 Å; angles 89.96, 89.91, 88.82 degrees
Atoms (fractional coordinates):
K  0.000  0.000  0.000
Zr  0.500  0.500  0.260
Zr  0.500  0.500  0.740
U  0.000  0.000  0.500
S  0.240  0.458  0.000
S  0.256  0.343  0.500
S  0.270  0.838  0.706
S  0.271  0.839  0.294
S  0.729  0.161  0.706
S  0.730  0.162  0.294
S  0.744  0.657  0.500
S  0.760  0.542  0.000

---

Formation energy (no corrections) for every record listed, in sequence, given in eV per formula unit: -23.0, -13.5, -14.7, -8.8, -9.8, -18.6, -20.1, -17.0, -9.8, -13.2, -22.7, -13.1.
Volume for every record listed, in sequence, given in A^3/atom: 28.05, 28.17, 25.35, 25.89, 28.24, 27.49, 25.78, 25.14, 27.51, 26.12, 24.85, 25.26.